# YGaFeMo

A relaxed YGaFeMo crystal (GGA-PBE, OQMD).

a = 4.589 Å, b = 4.589 Å, c = 4.589 Å
α = 60.00°, β = 60.00°, γ = 60.00°
Atoms (fractional coordinates):
Y: 0.000 0.000 0.000
Ga: 0.250 0.250 0.250
Fe: 0.500 0.500 0.500
Mo: 0.750 0.750 0.750

Computed properties:
The value obtained for the calculated total energy is -27.2 eV for the cell shown. The size of the total moment is 1.90 μB per cell.